# 1
A plane-wave DFT calculation with GGA-PBE was carried out for crystalline Sm3Ho4Mg4 at its relaxed geometry.

```
data_Sm3Ho4Mg4
_chemical_formula_sum 'Sm6 Ho8 Mg8'
_cell_length_a 5.465
_cell_length_b 6.975
_cell_length_c 17.424
_cell_angle_alpha 90.00
_cell_angle_beta 90.00
_cell_angle_gamma 90.00
_space_group_name_H-M_alt 'I m m m'
_space_group_IT_number 71
_space_group_name_Hall '-I 2 2'
loop_
_atom_site_label
_atom_site_fract_x
_atom_site_fract_y
_atom_site_fract_z
Sm1 0.000 0.000 0.000
Sm2 0.000 0.500 0.109
Ho1 0.000 0.262 0.314
Mg1 0.000 0.000 0.172
Mg2 0.000 0.217 0.500
```

---

# 2
# GGA-PBE SmHoMg3, relaxed
data_SmHoMg3
_chemical_formula_sum 'Sm6 Ho6 Mg18'
_cell_length_a 6.2465
_cell_length_b 6.2465
_cell_length_c 24.6672
_cell_angle_alpha 90.00
_cell_angle_beta 90.00
_cell_angle_gamma 120.00
_space_group_name_H-M_alt 'R -3 m'
_space_group_IT_number 166
_space_group_name_Hall '-R 3 2"'
loop_
_atom_site_label
_atom_site_fract_x
_atom_site_fract_y
_atom_site_fract_z
Sm1 0.0000 0.0000 0.0678
Ho1 0.0000 0.0000 0.3345
Mg1 0.0077 0.5038 0.8819
# ΔE to the lowest computed polymorph   0.000 eV per atom

---

# 3
# GGA-PBE Sm6Ho4Mg, relaxed
data_Sm6Ho4Mg
_chemical_formula_sum 'Sm12 Ho8 Mg2'
_cell_length_a 8.088
_cell_length_b 8.088
_cell_length_c 11.986
_cell_angle_alpha 90.00
_cell_angle_beta 90.00
_cell_angle_gamma 90.00
_space_group_name_H-M_alt 'I -4 2 m'
_space_group_IT_number 121
_space_group_name_Hall 'I -4 2'
loop_
_atom_site_label
_atom_site_fract_x
_atom_site_fract_y
_atom_site_fract_z
Sm1 0.000 0.500 0.000
Sm2 0.181 0.181 0.222
Ho1 0.166 0.166 0.936
Mg1 0.000 0.000 0.500
# ΔE to the lowest computed polymorph   0.183 eV per atom

---

# 4
# GGA-PBE Sm4Ho5Mg, relaxed
data_Sm4Ho5Mg
_chemical_formula_sum 'Sm8 Ho10 Mg2'
_cell_length_a 10.665
_cell_length_b 10.665
_cell_length_c 5.744
_cell_angle_alpha 90.00
_cell_angle_beta 90.00
_cell_angle_gamma 90.00
_space_group_name_H-M_alt 'I 4 m m'
_space_group_IT_number 107
_space_group_name_Hall 'I 4 -2'
loop_
_atom_site_label
_atom_site_fract_x
_atom_site_fract_y
_atom_site_fract_z
Sm1 0.000 0.318 0.000
Ho1 0.000 0.000 0.205
Ho2 0.185 0.185 0.489
Mg1 0.000 0.000 0.724
# ΔE to the lowest computed polymorph   0.187 eV per atom

---

# 5
# GGA-PBE Sm8Ho2Mg, relaxed
data_Sm8Ho2Mg
_chemical_formula_sum 'Sm16 Ho4 Mg2'
_cell_length_a 10.351
_cell_length_b 13.171
_cell_length_c 5.463
_cell_angle_alpha 90.00
_cell_angle_beta 90.14
_cell_angle_gamma 90.00
_space_group_name_H-M_alt 'C 1 m 1'
_space_group_IT_number 8
loop_
_space_group_symop_operation_xyz
'x,y,z'
'x,-y,z'
'x+1/2,y+1/2,z'
'x+1/2,-y+1/2,z'
loop_
_atom_site_label
_atom_site_fract_x
_atom_site_fract_y
_atom_site_fract_z
Sm1 0.000 0.000 0.000
Sm2 0.000 0.362 0.498
Sm3 0.164 0.247 0.000
Sm4 0.328 0.000 0.000
Sm5 0.328 0.363 0.501
Ho1 0.164 0.121 0.500
Mg1 0.163 0.500 0.000
# ΔE to the lowest computed polymorph   0.000 eV per atom

---

# 6
A plane-wave DFT calculation with GGA-PBE was carried out for crystalline SmHoMg14 at its relaxed geometry.

```
data_SmHoMg14
_chemical_formula_sum 'Sm1 Ho1 Mg14'
_cell_length_a 6.932
_cell_length_b 6.932
_cell_length_c 8.016
_cell_angle_alpha 90.00
_cell_angle_beta 90.00
_cell_angle_gamma 90.00
_space_group_name_H-M_alt 'P 4/m m m'
_space_group_IT_number 123
_space_group_name_Hall '-P 4 2'
loop_
_atom_site_label
_atom_site_fract_x
_atom_site_fract_y
_atom_site_fract_z
Sm1 0.000 0.000 0.000
Ho1 0.500 0.500 0.000
Mg1 0.000 0.000 0.500
Mg2 0.000 0.500 0.000
Mg3 0.000 0.500 0.500
Mg4 0.252 0.252 0.262
Mg5 0.500 0.500 0.500
```

---

# 7
A plane-wave DFT calculation with GGA-PBE was carried out for crystalline SmHo5Mg3 at its relaxed geometry.

```
data_SmHo5Mg3
_chemical_formula_sum 'Sm4 Ho20 Mg12'
_cell_length_a 11.381
_cell_length_b 9.073
_cell_length_c 12.029
_cell_angle_alpha 90.00
_cell_angle_beta 104.57
_cell_angle_gamma 90.00
_space_group_name_H-M_alt 'C 1 2/m 1'
_space_group_IT_number 12
loop_
_space_group_symop_operation_xyz
'x,y,z'
'-x,-y,-z'
'-x,y,-z'
'x,-y,z'
'x+1/2,y+1/2,z'
'-x+1/2,-y+1/2,-z'
'-x+1/2,y+1/2,-z'
'x+1/2,-y+1/2,z'
loop_
_atom_site_label
_atom_site_fract_x
_atom_site_fract_y
_atom_site_fract_z
Sm1 0.118 0.000 0.266
Ho1 0.000 0.309 0.000
Ho2 0.087 0.500 0.630
Ho3 0.178 0.183 0.797
Ho4 0.225 0.500 0.932
Mg1 0.000 0.000 0.000
Mg2 0.000 0.000 0.500
Mg3 0.077 0.500 0.213
Mg4 0.236 0.500 0.437
```

---

# 8
# GGA-PBE Sm8Ho2Mg, relaxed
data_Sm8Ho2Mg
_chemical_formula_sum 'Sm16 Ho4 Mg2'
_cell_length_a 11.945
_cell_length_b 11.331
_cell_length_c 5.976
_cell_angle_alpha 90.00
_cell_angle_beta 104.05
_cell_angle_gamma 90.00
_space_group_name_H-M_alt 'C 1 2/m 1'
_space_group_IT_number 12
loop_
_space_group_symop_operation_xyz
'x,y,z'
'-x,-y,-z'
'-x,y,-z'
'x,-y,z'
'x+1/2,y+1/2,z'
'-x+1/2,-y+1/2,-z'
'-x+1/2,y+1/2,-z'
'x+1/2,-y+1/2,z'
loop_
_atom_site_label
_atom_site_fract_x
_atom_site_fract_y
_atom_site_fract_z
Sm1 0.080 0.000 0.290
Sm2 0.102 0.260 0.788
Sm3 0.229 0.000 0.905
Ho1 0.134 0.500 0.493
Mg1 0.000 0.500 0.000
# ΔE to the lowest computed polymorph   0.236 eV per atom

---

| no. | formation energy from the elements (eV/atom) | total moment (μB/f.u.) |
| --- | --- | --- |
| 1 | 0.11 | 0.00 |
| 2 | 0.02 | 0.23 |
| 3 | 0.46 | 0.00 |
| 4 | 0.19 | 0.00 |
| 5 | 0.15 | 0.00 |
| 6 | -0.03 | 0.00 |
| 7 | 0.36 | 0.00 |
| 8 | 0.39 | 0.00 |